Entry from the Alexandria database: a geometry-optimized ThUP structure (GGA-PBE).

Values from the calculation:
* total DFT energy (no corrections): -8.66 eV/atom
* SG: R-3m
* energy of formation: -0.62 eV/atom
* D(E_F): 6.09 states/eV/cell

a = 3.8668 Å, b = 3.8668 Å, c = 11.5868 Å
α = 80.39°, β = 80.39°, γ = 60.00°
Closest atoms and distances in Å follow each position.
Atoms (fractional coordinates):
P (0.7647, 0.7647, 0.7058)  4 U 2.79-3.00, 3 Th 2.85
P (0.2353, 0.2353, 0.2942)  4 U 2.79-3.00, 3 Th 2.85
U (0.8528, 0.8528, 0.4416)  3 U 2.60, 3 P 2.79
U (0.1472, 0.1472, 0.5584)  3 U 2.60, 3 P 2.79
Th (0.6203, 0.6203, 0.1390)  3 P 2.85
Th (0.3797, 0.3797, 0.8610)  3 P 2.85

***

Entry from the Alexandria database: a geometry-optimized Ca4TmTh3Bi8 structure (GGA-PBE).

Values from the calculation:
* total DFT energy (no corrections): -4.85 eV/atom
* SG: R-3m
* energy of formation: -0.73 eV/atom
* D(E_F): 5.32 states/eV/cell

a = 9.2142 Å, b = 9.1988 Å, c = 9.2132 Å
α = 120.05°, β = 120.00°, γ = 90.00°
Closest atoms and distances in Å follow each position.
Atoms (fractional coordinates):
Bi (0.7530, 0.7434, 0.9982)  1 Tm 3.19, 2 Th 3.24, 3 Ca 3.27-3.32
Bi (0.7548, 0.2566, 0.0018)  1 Tm 3.19, 2 Th 3.24, 3 Ca 3.27-3.32
Bi (0.2452, 0.7434, 0.4904)  1 Tm 3.19, 2 Th 3.24, 3 Ca 3.27-3.32
Bi (0.2470, 0.2566, 0.0018)  1 Tm 3.19, 2 Th 3.24, 3 Ca 3.27-3.32
Bi (0.7548, 0.2566, 0.5096)  1 Tm 3.19, 2 Th 3.24, 3 Ca 3.27-3.32
Bi (0.2452, 0.7434, 0.9982)  1 Tm 3.19, 2 Th 3.24, 3 Ca 3.27-3.32
Bi (0.7493, 0.7479, 0.4987)  3 Th 3.25, 3 Ca 3.26
Bi (0.2507, 0.2521, 0.5013)  3 Th 3.25, 3 Ca 3.26
Ca (0.5000, 0.0000, 0.5000)  6 Bi 3.26-3.27
Ca (0.0000, 0.0000, 0.5000)  6 Bi 3.26-3.27
Ca (0.0000, 0.0000, 0.0000)  6 Bi 3.26-3.27
Ca (0.5000, 0.0000, 0.0000)  6 Bi 3.32
Th (0.5000, 0.5000, 0.5000)  6 Bi 3.24-3.25
Th (0.5000, 0.5000, 0.0000)  6 Bi 3.24-3.25
Th (0.0000, 0.5000, 0.5000)  6 Bi 3.24-3.25
Tm (0.0000, 0.5000, 0.0000)  6 Bi 3.19

***

Entry from the Alexandria database: a geometry-optimized CrFe2Mo structure (GGA-PBE).

Values from the calculation:
* total DFT energy (no corrections): -9.17 eV/atom
* SG: Imm2
* energy of formation: 0.17 eV/atom
* D(E_F): 4.93 states/eV/cell

a = 4.7986 Å, b = 4.7986 Å, c = 4.7986 Å
α = 143.64°, β = 128.36°, γ = 64.79°
Closest atoms and distances in Å follow each position.
Atoms (fractional coordinates):
Fe (0.0016, 0.0016, 0.0000)  2 Cr 2.51, 2 Fe 2.51, 4 Mo 2.57
Fe (0.7530, 0.2530, 0.5000)  2 Fe 2.51, 2 Mo 2.57, 4 Cr 2.57
Mo (0.4954, 0.4954, 0.0000)  2 Cr 2.49, 6 Fe 2.57
Cr (0.2500, 0.7500, 0.5000)  2 Mo 2.49, 6 Fe 2.51-2.57

***

Entry from the Alexandria database: a geometry-optimized MgScAl structure (GGA-PBE).

Values from the calculation:
* total DFT energy (no corrections): -3.91 eV/atom
* SG: P3m1
* energy of formation: -0.02 eV/atom
* D(E_F): 3.00 states/eV/cell

a = 3.1414 Å, b = 3.1414 Å, c = 7.5093 Å
α = 90.00°, β = 90.00°, γ = 120.00°
Closest atoms and distances in Å follow each position.
Atoms (fractional coordinates):
Al (0.0000, 0.0000, 0.9978)  3 Sc 2.98, 3 Mg 3.02, 6 Al 3.14
Mg (0.3333, 0.6667, 0.3200)  3 Al 3.02, 6 Mg 3.14, 3 Sc 3.27
Sc (0.6667, 0.3333, 0.6822)  3 Al 2.98, 6 Sc 3.14, 3 Mg 3.27

***

Entry from the Alexandria database: a geometry-optimized CaY2Cl structure (GGA-PBE).

Values from the calculation:
* total DFT energy (no corrections): -4.86 eV/atom
* SG: Pm
* formation energy without anion corrections: -663.7 meV/atom
* D(E_F): 4.80 states/eV/cell

a = 3.5618 Å, b = 3.5919 Å, c = 9.6938 Å
α = 79.51°, β = 90.00°, γ = 90.00°
Closest atoms and distances in Å follow each position.
Atoms (fractional coordinates):
Ca (0.0000, 0.5476, 0.5378)  4 Cl 3.13-3.16
Cl (0.5000, 0.9429, 0.7340)  2 Y 3.00, 4 Ca 3.13-3.16
Y (0.5000, 0.1922, 0.2415)  8 Y 3.51-3.59, 4 Ca 3.79
Y (0.0000, 0.8174, 0.9867)  2 Cl 3.00

***

Entry from the Alexandria database: a geometry-optimized NaZr3C structure (GGA-PBE).

Values from the calculation:
* total DFT energy (no corrections): -4.64 eV/atom
* SG: Pm-3m
* energy of formation: 2.60 eV/atom
* D(E_F): 8.37 states/eV/cell

a = 4.8785 Å, b = 4.8785 Å, c = 4.8785 Å
α = 90.00°, β = 90.00°, γ = 90.00°
Closest atoms and distances in Å follow each position.
Atoms (fractional coordinates):
Zr (0.0000, 0.5000, 0.0000)  2 Na 2.44
Zr (0.0000, 0.0000, 0.5000)  2 Na 2.44
Zr (0.5000, 0.0000, 0.0000)  2 Na 2.44
Na (0.0000, 0.0000, 0.0000)  6 Zr 2.44
C (0.5000, 0.5000, 0.5000)  12 Zr 3.45

***

Entry from the Alexandria database: a geometry-optimized YZnSi2 structure (GGA-PBE).

Values from the calculation:
* total DFT energy (no corrections): -4.87 eV/atom
* SG: Cmmm
* formation energy without anion corrections: -220.4 meV/atom
* D(E_F): 2.20 states/eV/cell

a = 3.1106 Å, b = 5.1650 Å, c = 5.1650 Å
α = 117.57°, β = 90.00°, γ = 90.00°
Closest atoms and distances in Å follow each position.
Atoms (fractional coordinates):
Zn (0.5000, 0.5537, 0.4463)  4 Si 2.58
Si (0.5000, 0.0537, 0.4462)  2 Zn 2.58, 2 Si 2.68
Si (0.5000, 0.5538, 0.9463)  2 Zn 2.58, 2 Si 2.68
Y (0.0000, 0.0538, 0.9462)  8 Si 3.01, 4 Zn 3.10, 2 Y 3.11

***

Entry from the Alexandria database: a geometry-optimized La3CdIr structure (GGA-PBE).

Values from the calculation:
* total DFT energy (no corrections): -5.31 eV/atom
* SG: Pnma
* energy of formation: -0.40 eV/atom
* D(E_F): 25.31 states/eV/cell

a = 6.6077 Å, b = 9.9642 Å, c = 8.8652 Å
α = 90.00°, β = 90.00°, γ = 90.00°
Closest atoms and distances in Å follow each position.
Atoms (fractional coordinates):
Ir (0.5000, 0.0000, 0.0000)  6 La 2.93-3.01, 2 Cd 3.13
Ir (0.0000, 0.0000, 0.5000)  6 La 2.93-3.01, 2 Cd 3.13
Ir (0.0000, 0.5000, 0.5000)  6 La 2.93-3.01, 2 Cd 3.13
Ir (0.5000, 0.5000, 0.0000)  6 La 2.93-3.01, 2 Cd 3.13
La (0.1250, 0.5521, 0.8156)  2 Ir 2.96-3.01
La (0.8750, 0.0521, 0.1844)  2 Ir 2.96-3.01
La (0.6250, 0.5521, 0.6844)  2 Ir 2.96-3.01
La (0.6250, 0.9479, 0.6844)  2 Ir 2.96-3.01
La (0.3243, 0.7500, 0.1151)  2 Ir 2.93, 1 Cd 3.25
La (0.8750, 0.4479, 0.1844)  2 Ir 2.96-3.01
La (0.6757, 0.2500, 0.8849)  2 Ir 2.93, 1 Cd 3.25
La (0.8243, 0.7500, 0.3849)  2 Ir 2.93, 1 Cd 3.25
La (0.1757, 0.2500, 0.6151)  2 Ir 2.93, 1 Cd 3.25
La (0.3750, 0.0521, 0.3156)  2 Ir 2.96-3.01
La (0.3750, 0.4479, 0.3156)  2 Ir 2.96-3.01
La (0.1250, 0.9479, 0.8156)  2 Ir 2.96-3.01
Cd (0.2142, 0.2500, 0.0123)  2 Ir 3.13, 5 La 3.25-3.50
Cd (0.7858, 0.7500, 0.9877)  2 Ir 3.13, 5 La 3.25-3.50
Cd (0.7142, 0.2500, 0.4877)  2 Ir 3.13, 5 La 3.25-3.50
Cd (0.2858, 0.7500, 0.5123)  2 Ir 3.13, 5 La 3.25-3.50

***

Entry from the Alexandria database: a geometry-optimized SrBeBi3 structure (GGA-PBE).

Values from the calculation:
* total DFT energy (no corrections): -2.17 eV/atom
* SG: Pm-3m
* energy of formation: 1.24 eV/atom
* D(E_F): 3.18 states/eV/cell

a = 6.1079 Å, b = 6.1079 Å, c = 6.1079 Å
α = 90.00°, β = 90.00°, γ = 90.00°
Closest atoms and distances in Å follow each position.
Atoms (fractional coordinates):
Bi (0.0000, 0.5000, 0.0000)  2 Sr 3.05
Bi (0.5000, 0.0000, 0.0000)  2 Sr 3.05
Bi (0.0000, 0.0000, 0.5000)  2 Sr 3.05
Sr (0.0000, 0.0000, 0.0000)  6 Bi 3.05
Be (0.5000, 0.5000, 0.5000)  12 Bi 4.32

***

Entry from the Alexandria database: a geometry-optimized LiVTc2Bi structure (GGA-PBE).

Values from the calculation:
* total DFT energy (no corrections): -6.21 eV/atom
* SG: P4/mmm
* energy of formation: 0.91 eV/atom
* D(E_F): 4.71 states/eV/cell

a = 4.4776 Å, b = 4.8044 Å, c = 4.4776 Å
α = 90.00°, β = 90.00°, γ = 90.00°
Closest atoms and distances in Å follow each position.
Atoms (fractional coordinates):
Bi (0.5000, 0.5000, 0.5000)  4 Li 3.17, 8 Tc 3.28
V (0.0000, 0.0000, 0.0000)  4 Tc 2.24, 2 Li 2.40
Li (0.0000, 0.5000, 0.0000)  2 V 2.40
Tc (0.5000, 0.0000, 0.0000)  2 V 2.24
Tc (0.0000, 0.0000, 0.5000)  2 V 2.24

***

What is the formula in the tenth record? LiVTc2Bi